Record 1
# KPuAu2O8 (PBE, relaxed)
# crystal system = tetragonal
# raw formation energy = -61.91 kJ per mole of atoms
# spin magnetization = 0.00 μB per formula unit
# symmetry = I-4m2 (119)
data_KPuAu2O8
_chemical_formula_sum 'K1 Pu1 Au2 O8'
_space_group_name_H-M_alt 'P 1'
_space_group_IT_number 1
_space_group_name_Hall 'P 1'
_cell_length_a 6.3229
_cell_length_b 6.3229
_cell_length_c 6.3229
_cell_angle_alpha 109.22
_cell_angle_beta 109.22
_cell_angle_gamma 109.97
loop_
_atom_site_label
_atom_site_fract_x
_atom_site_fract_y
_atom_site_fract_z
_atom_site_occupancy
K1 0.0000 0.0000 0.0000 1
Pu1 0.2500 0.7500 0.5000 1
Au1 0.5000 0.5000 0.0000 1
Au2 0.7500 0.2500 0.5000 1
O1 0.3083 0.0694 0.7611 1
O2 0.3083 0.5472 0.2389 1
O3 0.3774 0.0346 0.3428 1
O4 0.4528 0.6917 0.7611 1
O5 0.6918 0.0346 0.6572 1
O6 0.9306 0.6917 0.2389 1
O7 0.9654 0.3082 0.3428 1
O8 0.9654 0.6226 0.6572 1



Record 2
# PrEr2TlC (PBE, relaxed)
# crystal system = tetragonal
# spin magnetization = 0.00 μB per formula unit
# symmetry = P4/mmm (123)
data_PrEr2TlC
_chemical_formula_sum 'Pr1 Er2 Tl1 C1'
_space_group_name_H-M_alt 'P 1'
_space_group_IT_number 1
_space_group_name_Hall 'P 1'
_cell_length_a 4.8944
_cell_length_b 4.8944
_cell_length_c 5.1708
_cell_angle_alpha 90.00
_cell_angle_beta 90.00
_cell_angle_gamma 90.00
loop_
_atom_site_label
_atom_site_fract_x
_atom_site_fract_y
_atom_site_fract_z
_atom_site_occupancy
Pr1 0.0000 0.0000 0.0000 1
Er1 0.0000 0.5000 0.5000 1
Er2 0.5000 0.0000 0.5000 1
Tl1 0.5000 0.5000 0.0000 1
C1 0.0000 0.0000 0.5000 1



Record 3
# HoPaP2 (PBE, relaxed)
# crystal system = hexagonal
# energy above the lowest structure with this stoichiometry = 31 meV/atom
# spin magnetization = 0.00 μB per formula unit
# symmetry = P6_3/mmc (194)
data_HoPaP2
_chemical_formula_sum 'Ho2 Pa2 P4'
_space_group_name_H-M_alt 'P 1'
_space_group_IT_number 1
_space_group_name_Hall 'P 1'
_cell_length_a 3.9717
_cell_length_b 3.9717
_cell_length_c 12.9434
_cell_angle_alpha 90.00
_cell_angle_beta 90.00
_cell_angle_gamma 120.00
loop_
_atom_site_label
_atom_site_fract_x
_atom_site_fract_y
_atom_site_fract_z
_atom_site_occupancy
Ho1 0.3333 0.6667 0.2500 1
Ho2 0.6667 0.3333 0.7500 1
Pa1 0.0000 0.0000 0.0000 1
Pa2 0.0000 0.0000 0.5000 1
P1 0.3333 0.6667 0.6223 1
P2 0.3333 0.6667 0.8777 1
P3 0.6667 0.3333 0.1223 1
P4 0.6667 0.3333 0.3777 1



Record 4
# La3Pr6Sm2 (PBE, relaxed)
# crystal system = tetragonal
# energy above the lowest structure with this stoichiometry = 232 meV/atom
# spin magnetization = 0.00 μB per formula unit
# symmetry = I4/mmm (139)
data_La3Pr6Sm2
_chemical_formula_sum 'La3 Pr6 Sm2'
_space_group_name_H-M_alt 'P 1'
_space_group_IT_number 1
_space_group_name_Hall 'P 1'
_cell_length_a 17.4782
_cell_length_b 17.4782
_cell_length_c 17.4782
_cell_angle_alpha 163.81
_cell_angle_beta 163.81
_cell_angle_gamma 22.97
loop_
_atom_site_label
_atom_site_fract_x
_atom_site_fract_y
_atom_site_fract_z
_atom_site_occupancy
La1 0.0000 0.0000 0.0000 1
La2 0.2053 0.2053 0.0000 1
La3 0.7947 0.7947 0.0000 1
Pr1 0.1183 0.6183 0.5000 1
Pr2 0.3064 0.3064 0.0000 1
Pr3 0.3817 0.8817 0.5000 1
Pr4 0.6183 0.1183 0.5000 1
Pr5 0.6936 0.6936 0.0000 1
Pr6 0.8817 0.3817 0.5000 1
Sm1 0.4552 0.4552 0.0000 1
Sm2 0.5448 0.5448 0.0000 1



D(E_F) across the listed records, respectively: 9.00; 1.75; 4.52; 15.29 states/eV/cell.
Final energy across the listed records, respectively: -5.7792; -5.4816; -7.6477; -4.5625 eV/atom.